(1)
Computed, not measured: a relaxed ScSnGe2 crystal at the PBE level of DFT.

Structure (CIF):
```
data_ScSnGe2
_chemical_formula_sum 'Sc4 Sn4 Ge8'
_space_group_name_H-M_alt 'I -4 2 d'
_space_group_IT_number 122
_space_group_name_Hall 'I -4 2bw'
_cell_length_a 7.7112
_cell_length_b 7.7112
_cell_length_c 5.9482
_cell_angle_alpha 90.00
_cell_angle_beta 90.00
_cell_angle_gamma 90.00
loop_
_atom_site_label
_atom_site_fract_x
_atom_site_fract_y
_atom_site_fract_z
Sc1 0.0000 0.0000 0.0000
Sn1 0.0000 0.0000 0.5000
Ge1 0.2478 0.7500 0.6250
```

Output
Energy, eV/atom: -4.99
Energy of formation from the pure elements, eV per atom: -0.095

=====

(2)
Computed, not measured: a relaxed Sc2SnGe crystal at the PBE level of DFT.

Structure (CIF):
```
data_Sc2SnGe
_chemical_formula_sum 'Sc2 Sn1 Ge1'
_space_group_name_H-M_alt 'P 4/m m m'
_space_group_IT_number 123
_space_group_name_Hall '-P 4 2'
_cell_length_a 4.4964
_cell_length_b 4.4964
_cell_length_c 4.1290
_cell_angle_alpha 90.00
_cell_angle_beta 90.00
_cell_angle_gamma 90.00
loop_
_atom_site_label
_atom_site_fract_x
_atom_site_fract_y
_atom_site_fract_z
Sc1 0.0000 0.5000 0.0000
Sn1 0.0000 0.0000 0.5000
Ge1 0.5000 0.5000 0.5000
```

Output
Energy, eV/atom: -5.86
Energy of formation from the pure elements, eV per atom: -0.543

=====

(3)
Computed, not measured: a relaxed Sc2SnGe crystal at the PBE level of DFT.

Structure (CIF):
```
data_Sc2SnGe
_chemical_formula_sum 'Sc6 Sn3 Ge3'
_space_group_name_H-M_alt 'R -3 m'
_space_group_IT_number 166
_space_group_name_Hall '-R 3 2"'
_cell_length_a 3.6742
_cell_length_b 3.6742
_cell_length_c 23.6354
_cell_angle_alpha 90.00
_cell_angle_beta 90.00
_cell_angle_gamma 120.00
loop_
_atom_site_label
_atom_site_fract_x
_atom_site_fract_y
_atom_site_fract_z
Sc1 0.0000 0.0000 0.2376
Sn1 0.0000 0.0000 0.0000
Ge1 0.0000 0.0000 0.5000
```

Output
Energy, eV/atom: -5.88
Energy of formation from the pure elements, eV per atom: -0.563

=====

(4)
Computed, not measured: a relaxed Sc4SnGe crystal at the PBE level of DFT.

Structure (CIF):
```
data_Sc4SnGe
_chemical_formula_sum 'Sc16 Sn4 Ge4'
_space_group_name_H-M_alt 'C 1 2/m 1'
_space_group_IT_number 12
_space_group_name_Hall '-C 2y'
_cell_length_a 15.2706
_cell_length_b 4.6132
_cell_length_c 7.9462
_cell_angle_alpha 90.00
_cell_angle_beta 102.36
_cell_angle_gamma 90.00
loop_
_atom_site_label
_atom_site_fract_x
_atom_site_fract_y
_atom_site_fract_z
Sc1 0.0466 0.0000 0.3503
Sc2 0.0782 0.5000 0.8623
Sc3 0.1817 0.5000 0.4958
Sc4 0.1918 0.0000 0.1182
Sn1 0.1905 0.0000 0.7450
Ge1 0.0000 0.0000 0.0000
Ge2 0.0000 0.5000 0.5000
```

Output
Energy, eV/atom: -6.18
Energy of formation from the pure elements, eV per atom: -0.517

=====

(5)
Computed, not measured: a relaxed ScSn2Ge crystal at the PBE level of DFT.

Structure (CIF):
```
data_ScSn2Ge
_chemical_formula_sum 'Sc4 Sn8 Ge4'
_space_group_name_H-M_alt 'I -4 2 d'
_space_group_IT_number 122
_space_group_name_Hall 'I -4 2bw'
_cell_length_a 8.0855
_cell_length_b 8.0855
_cell_length_c 5.9482
_cell_angle_alpha 90.00
_cell_angle_beta 90.00
_cell_angle_gamma 90.00
loop_
_atom_site_label
_atom_site_fract_x
_atom_site_fract_y
_atom_site_fract_z
Sc1 0.0000 0.0000 0.0000
Sn1 0.2287 0.2500 0.6250
Ge1 0.0000 0.0000 0.5000
```

Output
Energy, eV/atom: -4.85
Energy of formation from the pure elements, eV per atom: -0.113

=====

(6)
Computed, not measured: a relaxed Sc2SnGe crystal at the PBE level of DFT.

Structure (CIF):
```
data_Sc2SnGe
_chemical_formula_sum 'Sc8 Sn4 Ge4'
_space_group_name_H-M_alt 'I -4 2 d'
_space_group_IT_number 122
_space_group_name_Hall 'I -4 2bw'
_cell_length_a 7.6110
_cell_length_b 7.6110
_cell_length_c 6.3526
_cell_angle_alpha 90.00
_cell_angle_beta 90.00
_cell_angle_gamma 90.00
loop_
_atom_site_label
_atom_site_fract_x
_atom_site_fract_y
_atom_site_fract_z
Sc1 0.2255 0.2500 0.1250
Sn1 0.0000 0.0000 0.5000
Ge1 0.0000 0.0000 0.0000
```

Output
Energy, eV/atom: -5.70
Energy of formation from the pure elements, eV per atom: -0.375

=====

(7)
Computed, not measured: a relaxed Sc4Sn2Ge crystal at the PBE level of DFT.

Structure (CIF):
```
data_Sc4Sn2Ge
_chemical_formula_sum 'Sc8 Sn4 Ge2'
_space_group_name_H-M_alt 'I 4/m m m'
_space_group_IT_number 139
_space_group_name_Hall '-I 4 2'
_cell_length_a 4.8885
_cell_length_b 4.8885
_cell_length_c 15.2215
_cell_angle_alpha 90.00
_cell_angle_beta 90.00
_cell_angle_gamma 90.00
loop_
_atom_site_label
_atom_site_fract_x
_atom_site_fract_y
_atom_site_fract_z
Sc1 0.0000 0.0000 0.1724
Sc2 0.0000 0.5000 0.0000
Sn1 0.0000 0.0000 0.3648
Ge1 0.0000 0.0000 0.0000
```

Output
Energy, eV/atom: -5.85
Energy of formation from the pure elements, eV per atom: -0.433

=====

(8)
Computed, not measured: a relaxed Sc2SnGe crystal at the PBE level of DFT.

Structure (CIF):
```
data_Sc2SnGe
_chemical_formula_sum 'Sc4 Sn2 Ge2'
_space_group_name_H-M_alt 'P 1 21/m 1'
_space_group_IT_number 11
_space_group_name_Hall '-P 2yb'
_cell_length_a 5.6949
_cell_length_b 3.9343
_cell_length_c 8.1312
_cell_angle_alpha 90.00
_cell_angle_beta 108.19
_cell_angle_gamma 90.00
loop_
_atom_site_label
_atom_site_fract_x
_atom_site_fract_y
_atom_site_fract_z
Sc1 0.1780 0.2500 0.4217
Sc2 0.2799 0.7500 0.0560
Sn1 0.3968 0.7500 0.7035
Ge1 0.1065 0.2500 0.7996
```

Output
Energy, eV/atom: -6.02
Energy of formation from the pure elements, eV per atom: -0.695

=====

(9)
Computed, not measured: a relaxed ScSnGe2 crystal at the PBE level of DFT.

Structure (CIF):
```
data_ScSnGe2
_chemical_formula_sum 'Sc1 Sn1 Ge2'
_space_group_name_H-M_alt 'P 4/m m m'
_space_group_IT_number 123
_space_group_name_Hall '-P 4 2'
_cell_length_a 4.5391
_cell_length_b 4.5391
_cell_length_c 3.9837
_cell_angle_alpha 90.00
_cell_angle_beta 90.00
_cell_angle_gamma 90.00
loop_
_atom_site_label
_atom_site_fract_x
_atom_site_fract_y
_atom_site_fract_z
Sc1 0.0000 0.0000 0.0000
Sn1 0.5000 0.5000 0.0000
Ge1 0.0000 0.5000 0.5000
```

Output
Energy, eV/atom: -5.16
Energy of formation from the pure elements, eV per atom: -0.272

=====

(10)
Computed, not measured: a relaxed ScSn2Ge2 crystal at the PBE level of DFT.

Structure (CIF):
```
data_ScSn2Ge2
_chemical_formula_sum 'Sc2 Sn4 Ge4'
_space_group_name_H-M_alt 'I 4/m m m'
_space_group_IT_number 139
_space_group_name_Hall '-I 4 2'
_cell_length_a 4.0851
_cell_length_b 4.0851
_cell_length_c 14.8024
_cell_angle_alpha 90.00
_cell_angle_beta 90.00
_cell_angle_gamma 90.00
loop_
_atom_site_label
_atom_site_fract_x
_atom_site_fract_y
_atom_site_fract_z
Sc1 0.0000 0.0000 0.0000
Sn1 0.0000 0.5000 0.2500
Ge1 0.0000 0.0000 0.4174
```

Output
Energy relative to the lowest polymorph listed for this composition, meV/atom: 189
Energy, eV/atom: -4.65
Energy of formation from the pure elements, eV per atom: 0.061

=====

(11)
Computed, not measured: a relaxed Sc2SnGe crystal at the PBE level of DFT.

Structure (CIF):
```
data_Sc2SnGe
_chemical_formula_sum 'Sc2 Sn1 Ge1'
_space_group_name_H-M_alt 'P 4/m m m'
_space_group_IT_number 123
_space_group_name_Hall '-P 4 2'
_cell_length_a 3.1923
_cell_length_b 3.1923
_cell_length_c 8.2110
_cell_angle_alpha 90.00
_cell_angle_beta 90.00
_cell_angle_gamma 90.00
loop_
_atom_site_label
_atom_site_fract_x
_atom_site_fract_y
_atom_site_fract_z
Sc1 0.0000 0.0000 0.2247
Sn1 0.5000 0.5000 0.5000
Ge1 0.5000 0.5000 0.0000
```

Output
Energy, eV/atom: -5.90
Energy of formation from the pure elements, eV per atom: -0.584

=====

(12)
Computed, not measured: a relaxed ScSn2Ge2 crystal at the PBE level of DFT.

Structure (CIF):
```
data_ScSn2Ge2
_chemical_formula_sum 'Sc2 Sn4 Ge4'
_space_group_name_H-M_alt 'P 4/m b m'
_space_group_IT_number 127
_space_group_name_Hall '-P 4 2ab'
_cell_length_a 7.3104
_cell_length_b 7.3104
_cell_length_c 4.2365
_cell_angle_alpha 90.00
_cell_angle_beta 90.00
_cell_angle_gamma 90.00
loop_
_atom_site_label
_atom_site_fract_x
_atom_site_fract_y
_atom_site_fract_z
Sc1 0.0000 0.0000 0.0000
Sn1 0.1697 0.3303 0.5000
Ge1 0.1309 0.6309 0.0000
```

Output
Energy relative to the lowest polymorph listed for this composition, meV/atom: 0
Energy, eV/atom: -4.84
Energy of formation from the pure elements, eV per atom: -0.128

=====

(13)
Computed, not measured: a relaxed ScSn2Ge2 crystal at the PBE level of DFT.

Structure (CIF):
```
data_ScSn2Ge2
_chemical_formula_sum 'Sc2 Sn4 Ge4'
_space_group_name_H-M_alt 'P 4/m b m'
_space_group_IT_number 127
_space_group_name_Hall '-P 4 2ab'
_cell_length_a 7.7534
_cell_length_b 7.7534
_cell_length_c 3.8918
_cell_angle_alpha 90.00
_cell_angle_beta 90.00
_cell_angle_gamma 90.00
loop_
_atom_site_label
_atom_site_fract_x
_atom_site_fract_y
_atom_site_fract_z
Sc1 0.0000 0.0000 0.0000
Sn1 0.1404 0.3596 0.0000
Ge1 0.1598 0.6598 0.5000
```

Output
Energy relative to the lowest polymorph listed for this composition, meV/atom: 170
Energy, eV/atom: -4.67
Energy of formation from the pure elements, eV per atom: 0.042